An optimized crystal structure of ScF3. Source: the Alexandria database, functional PBE.

a b c (Å): 3.8961 3.8961 3.8427
angles (deg): 90.00 90.00 123.19
Closest atoms and distances in Å follow each position.
Sites, in units of the cell vectors:
Sc 0.0000 0.0000 0.0000  4 F 2.05
F 0.5000 0.0000 0.1692  2 Sc 2.05, 2 F 2.26
F 0.0000 0.5000 0.8308  2 Sc 2.05, 2 F 2.26
F 0.5000 0.5000 0.5000  4 F 2.33

Summary:
Electronic total energy: -24.581 eV for the cell shown
SG: C222, No. 21
N(E_F): 0.000 states/eV per cell
Spin magnetization: 0.00 μB per formula unit
E_form (uncorrected): -3.16 eV/atom

---

An optimized crystal structure of ScF3. Source: the Alexandria database, functional PBE.

a b c (Å): 3.1328 4.7589 6.5940
angles (deg): 90.00 90.00 109.22
Closest atoms and distances in Å follow each position.
Sites, in units of the cell vectors:
Sc 0.7609 0.5218 0.7500  8 F 2.06-2.22
Sc 0.2391 0.4782 0.2500  8 F 2.06-2.22
F 0.4095 0.8189 0.7500  2 Sc 2.06
F 0.5905 0.1811 0.2500  2 Sc 2.06
F 0.1565 0.3131 0.9319  3 Sc 2.18-2.22, 1 F 2.40
F 0.8435 0.6869 0.0681  3 Sc 2.18-2.22, 1 F 2.40
F 0.8435 0.6869 0.4319  3 Sc 2.18-2.22, 1 F 2.40
F 0.1565 0.3131 0.5681  3 Sc 2.18-2.22, 1 F 2.40

Summary:
Electronic total energy: -54.353 eV for the cell shown
SG: Cmcm, No. 63
N(E_F): 0.000 states/eV per cell
Spin magnetization: 0.00 μB per formula unit
E_form (uncorrected): -3.81 eV/atom

---

spin magnetization of number 2 (ScF3)? 0.00 μB per formula unit